(1)
# Dy4BiAsSe2 PBE optimized geometry
data_Dy4BiAsSe2
_chemical_formula_sum 'Dy4 Bi1 As1 Se2'
_space_group_name_H-M_alt 'P 1 2/m 1'
_space_group_IT_number 10
_cell_length_a 7.208
_cell_length_b 4.190
_cell_length_c 7.338
_cell_angle_alpha 90.00
_cell_angle_beta 109.53
_cell_angle_gamma 90.00
loop_
_space_group_symop_operation_xyz
'x,y,z'
'-x,-y,-z'
'-x,y,-z'
'x,-y,z'
loop_
_atom_site_label
_atom_site_type_symbol
_atom_site_fract_x
_atom_site_fract_y
_atom_site_fract_z
Dy1 Dy 0.241 0.000 0.229
Dy2 Dy 0.253 0.500 0.766
Bi1 Bi 0.500 0.500 0.500
As1 As 0.500 0.000 0.000
Se1 Se 0.000 0.000 0.500
Se2 Se 0.000 0.500 0.000
# - Total magnetization: 0.00 μB per formula unit
# - Calculated density: 8.7 g/cm³
# - Formation energy (no corrections): -1.47 eV/atom

=====

(2)
# CaOs2W PBE optimized geometry
data_CaOs2W
_chemical_formula_sum 'Ca2 Os4 W2'
_space_group_name_H-M_alt 'C 1 m 1'
_space_group_IT_number 8
_cell_length_a 11.035
_cell_length_b 2.812
_cell_length_c 4.866
_cell_angle_alpha 90.00
_cell_angle_beta 113.46
_cell_angle_gamma 90.00
loop_
_space_group_symop_operation_xyz
'x,y,z'
'x,-y,z'
'x+1/2,y+1/2,z'
'x+1/2,-y+1/2,z'
loop_
_atom_site_label
_atom_site_type_symbol
_atom_site_fract_x
_atom_site_fract_y
_atom_site_fract_z
Ca1 Ca 0.000 0.000 0.000
Os1 Os 0.019 0.500 0.506
Os2 Os 0.227 0.000 0.818
W1 W 0.291 0.500 0.364
# - Total magnetization: 0.00 μB per formula unit
# - Calculated density: 14.5 g/cm³
# - Relative energy among the computed polymorphs: 0.202 eV/atom
# - ΔH_f (0 K): 0.465 eV/atom

=====

Which value of calculated density does entry 1 give? 8.7 g/cm³